! NiAg2IF | Alexandria via LeMat-Bulk | GGA+U | relaxed; values from VASP
! E: -1.41 eV per atom
! symmetry: P4/mmm
! volume: 132.7 Å³ per cell
&SYSTEM
  ibrav = 0, nat = 5, ntyp = 4
/
ATOMIC_SPECIES
I 126.90 I.upf
Ni 58.69 Ni.upf
Ag 107.87 Ag.upf
F 19.00 F.upf
ATOMIC_POSITIONS crystal
I 0.0000 0.0000 0.0000
Ni 0.5000 0.5000 0.5000
Ag 0.0000 0.0000 0.5000
Ag 0.5000 0.0000 0.0000
F 0.0000 0.5000 0.0000
CELL_PARAMETERS angstrom
5.4154 0.0000 0.0000
0.0000 4.5262 0.0000
0.0000 0.0000 5.4154